Crystalline DyInPb2Cl8 at its relaxed geometry. Source: the Alexandria database, functional PBE-GGA.

```
data_DyInPb2Cl8
_chemical_formula_sum 'Dy1 In1 Pb2 Cl8'
_space_group_name_H-M_alt 'P 1 2/m 1'
_space_group_IT_number 10
_cell_length_a 6.571
_cell_length_b 8.924
_cell_length_c 6.849
_cell_angle_alpha 90.00
_cell_angle_beta 90.83
_cell_angle_gamma 90.00
loop_
_space_group_symop_operation_xyz
'x,y,z'
'-x,-y,-z'
'-x,y,-z'
'x,-y,z'
loop_
_atom_site_label
_atom_site_fract_x
_atom_site_fract_y
_atom_site_fract_z
Dy1 0.000 0.000 0.000
In1 0.000 0.500 0.000
Pb1 0.500 0.251 0.500
Cl1 0.227 0.214 0.161
Cl2 0.246 0.000 0.690
Cl3 0.279 0.500 0.640
```

uncorrected energy: -3.93 eV/atom
formation energy without anion corrections: -1.467 eV per atom
crystal system: monoclinic